{"formula": "CoNiIr2", "functional": "PBEsol", "state": "optimized geometry", "lattice_angstrom": [[2.632, 0.000, 0.000], [0.000, 2.632, 0.000], [0.000, 0.000, 7.057]], "species": ["Co", "Ni", "Ir", "Ir"], "fractional_positions": [[0.000, 0.000, 0.000], [0.000, 0.000, 0.500], [0.500, 0.500, 0.247], [0.500, 0.500, 0.753]], "magmom_total_mub_per_fu": 0.8, "e_tot_ev_per_fu": -33.4, "space_group": "P4/mmm (123)", "dos_at_fermi_per_ev_fu": 5.24, "polymorph_energy_mev_per_atom": 41, "delta_e_f_mev_per_atom": 35.3}